No. 1
A relaxed Cu2TcAu crystal, computed with PBE-GGA. Values from VASP.

Energy above the most stable polymorph in this dataset = 243 meV per atom
Symmetry = F-43m
ΔE_f = 0.41 eV per atom
D(E_F) = 0.659 states/eV per atom

Geometry as Quantum ESPRESSO input:
```
&SYSTEM
  ibrav = 0, nat = 16, ntyp = 3
/
ATOMIC_SPECIES
Cu 63.55 Cu.upf
Tc 98.00 Tc.upf
Au 196.97 Au.upf
CELL_PARAMETERS angstrom
6.173 0.000 0.000
0.000 6.173 0.000
0.000 0.000 6.173
ATOMIC_POSITIONS crystal
Cu 0.000 0.000 0.000
Cu 0.000 0.500 0.500
Cu 0.250 0.250 0.250
Cu 0.250 0.750 0.750
Cu 0.500 0.000 0.500
Cu 0.500 0.500 0.000
Cu 0.750 0.250 0.750
Cu 0.750 0.750 0.250
Tc 0.000 0.000 0.500
Tc 0.000 0.500 0.000
Tc 0.500 0.000 0.000
Tc 0.500 0.500 0.500
Au 0.250 0.250 0.750
Au 0.250 0.750 0.250
Au 0.750 0.250 0.250
Au 0.750 0.750 0.750
```

***

No. 2
A relaxed Gd3Au crystal, computed with PBE-GGA. Values from VASP.

Energy above the most stable polymorph in this dataset = 0 meV per atom
Symmetry = Pm-3m
ΔE_f = -0.28 eV per atom
D(E_F) = 1.058 states/eV per atom

Geometry as Quantum ESPRESSO input:
```
&SYSTEM
  ibrav = 0, nat = 4, ntyp = 2
/
ATOMIC_SPECIES
Gd 157.25 Gd.upf
Au 196.97 Au.upf
CELL_PARAMETERS angstrom
4.769 0.000 0.000
0.000 4.769 0.000
0.000 0.000 4.769
ATOMIC_POSITIONS crystal
Gd 0.000 0.000 0.500
Gd 0.000 0.500 0.000
Gd 0.500 0.000 0.000
Au 0.500 0.500 0.500
```

***

No. 3
A relaxed Nd3Ga2O8 crystal, computed with PBE-GGA. Values from VASP.

Symmetry = R-3m
Formation energy from raw total energies = -2.468 eV per atom
D(E_F) = 0.898 states/eV per atom

Geometry as Quantum ESPRESSO input:
```
&SYSTEM
  ibrav = 0, nat = 13, ntyp = 3
/
ATOMIC_SPECIES
Nd 144.24 Nd.upf
Ga 69.72 Ga.upf
O 16.00 O.upf
CELL_PARAMETERS angstrom
2.844 1.642 6.448
-2.844 1.642 6.448
0.000 -3.284 6.448
ATOMIC_POSITIONS crystal
Nd 0.000 0.000 0.000
Nd 0.199 0.199 0.199
Nd 0.801 0.801 0.801
Ga 0.407 0.407 0.407
Ga 0.593 0.593 0.593
O 0.208 0.742 0.742
O 0.258 0.258 0.792
O 0.258 0.792 0.258
O 0.313 0.313 0.313
O 0.687 0.687 0.687
O 0.742 0.208 0.742
O 0.742 0.742 0.208
O 0.792 0.258 0.258
```

***

No. 4
A relaxed HoGa3Cu2 crystal, computed with PBE-GGA. Values from VASP.

Symmetry = Cmcm
ΔE_f = -0.32 eV per atom
D(E_F) = 0.362 states/eV per atom

Geometry as Quantum ESPRESSO input:
```
&SYSTEM
  ibrav = 0, nat = 12, ntyp = 3
/
ATOMIC_SPECIES
Ho 164.93 Ho.upf
Ga 69.72 Ga.upf
Cu 63.55 Cu.upf
CELL_PARAMETERS angstrom
4.692 -3.975 0.000
4.692 3.975 0.000
0.000 0.000 5.465
ATOMIC_POSITIONS crystal
Ho 0.155 0.845 0.750
Ho 0.845 0.155 0.250
Ga 0.056 0.634 0.250
Ga 0.366 0.944 0.250
Ga 0.476 0.524 0.250
Ga 0.524 0.476 0.750
Ga 0.634 0.056 0.750
Ga 0.944 0.366 0.750
Cu 0.274 0.274 0.000
Cu 0.274 0.274 0.500
Cu 0.726 0.726 0.000
Cu 0.726 0.726 0.500
```

***

No. 5
A relaxed BC2 crystal, computed with PBE-GGA. Values from VASP.

Energy above the most stable polymorph in this dataset = 72 meV per atom
Symmetry = Pmm2
ΔE_f = 0.31 eV per atom
D(E_F) = 0.240 states/eV per atom

Geometry as Quantum ESPRESSO input:
```
&SYSTEM
  ibrav = 0, nat = 12, ntyp = 2
/
ATOMIC_SPECIES
B 10.81 B.upf
C 12.01 C.upf
CELL_PARAMETERS angstrom
2.491 0.000 0.000
0.000 2.529 0.000
0.000 0.000 12.102
ATOMIC_POSITIONS crystal
B 0.000 0.000 0.000
B 0.000 0.000 0.320
B 0.000 0.000 0.679
B 0.500 0.000 0.568
C 0.000 0.500 0.086
C 0.000 0.500 0.411
C 0.000 0.500 0.763
C 0.500 0.000 0.233
C 0.500 0.000 0.910
C 0.500 0.500 0.160
C 0.500 0.500 0.479
C 0.500 0.500 0.838
```

***

No. 6
A relaxed TaTe2O crystal, computed with PBE-GGA. Values from VASP.

Symmetry = R-3m
Formation energy from raw total energies = 0.571 eV per atom
D(E_F) = 0.919 states/eV per atom

Geometry as Quantum ESPRESSO input:
```
&SYSTEM
  ibrav = 0, nat = 12, ntyp = 3
/
ATOMIC_SPECIES
Ta 180.95 Ta.upf
Te 127.60 Te.upf
O 16.00 O.upf
CELL_PARAMETERS angstrom
3.125 0.000 0.000
-1.563 2.707 0.000
0.000 0.000 28.133
ATOMIC_POSITIONS crystal
Ta 0.000 0.000 0.000
Ta 0.333 0.667 0.667
Ta 0.667 0.333 0.333
Te 0.000 0.000 0.102
Te 0.000 0.000 0.898
Te 0.333 0.667 0.565
Te 0.333 0.667 0.769
Te 0.667 0.333 0.231
Te 0.667 0.333 0.435
O 0.000 0.000 0.500
O 0.333 0.667 0.167
O 0.667 0.333 0.833
```

***

No. 7
A relaxed SrScIn2 crystal, computed with PBE-GGA. Values from VASP.

Symmetry = I-42d
ΔE_f = 0.08 eV per atom
D(E_F) = 0.934 states/eV per atom

Geometry as Quantum ESPRESSO input:
```
&SYSTEM
  ibrav = 0, nat = 16, ntyp = 3
/
ATOMIC_SPECIES
Sr 87.62 Sr.upf
Sc 44.96 Sc.upf
In 114.82 In.upf
CELL_PARAMETERS angstrom
5.249 0.000 0.000
0.000 5.249 0.000
0.000 0.000 20.426
ATOMIC_POSITIONS crystal
Sr 0.000 0.000 0.000
Sr 0.000 0.500 0.250
Sr 0.500 0.000 0.750
Sr 0.500 0.500 0.500
Sc 0.000 0.000 0.500
Sc 0.000 0.500 0.750
Sc 0.500 0.000 0.250
Sc 0.500 0.500 0.000
In 0.150 0.250 0.625
In 0.250 0.650 0.875
In 0.250 0.850 0.375
In 0.350 0.250 0.125
In 0.650 0.750 0.125
In 0.750 0.150 0.375
In 0.750 0.350 0.875
In 0.850 0.750 0.625
```

***

No. 8
A relaxed La3Mg2Hg crystal, computed with PBE-GGA. Values from VASP.

Energy above the most stable polymorph in this dataset = 0 meV per atom
Symmetry = Cmmm
ΔE_f = -0.25 eV per atom
D(E_F) = 1.086 states/eV per atom

Geometry as Quantum ESPRESSO input:
```
&SYSTEM
  ibrav = 0, nat = 12, ntyp = 3
/
ATOMIC_SPECIES
La 138.91 La.upf
Mg 24.30 Mg.upf
Hg 200.59 Hg.upf
CELL_PARAMETERS angstrom
5.553 0.000 0.000
0.000 16.733 0.000
0.000 0.000 3.950
ATOMIC_POSITIONS crystal
La 0.000 0.000 0.000
La 0.000 0.337 0.000
La 0.000 0.663 0.000
La 0.500 0.163 0.000
La 0.500 0.500 0.000
La 0.500 0.837 0.000
Mg 0.000 0.174 0.500
Mg 0.000 0.826 0.500
Mg 0.500 0.326 0.500
Mg 0.500 0.674 0.500
Hg 0.000 0.500 0.500
Hg 0.500 0.000 0.500
```

***

No. 9
A relaxed Au5Br3Cl12 crystal, computed with PBE-GGA. Values from VASP.

Symmetry = Ia-3d
Formation energy from raw total energies = 0.123 eV per atom
D(E_F) = 1.225 states/eV per atom

Geometry as Quantum ESPRESSO input:
```
&SYSTEM
  ibrav = 0, nat = 80, ntyp = 3
/
ATOMIC_SPECIES
Au 196.97 Au.upf
Br 79.90 Br.upf
Cl 35.45 Cl.upf
CELL_PARAMETERS angstrom
-8.404 8.404 8.404
8.404 -8.404 8.404
8.404 8.404 -8.404
ATOMIC_POSITIONS crystal
Au 0.000 0.000 0.000
Au 0.000 0.000 0.500
Au 0.000 0.500 0.000
Au 0.000 0.500 0.500
Au 0.125 0.750 0.875
Au 0.125 0.875 0.250
Au 0.250 0.125 0.875
Au 0.250 0.625 0.375
Au 0.375 0.250 0.625
Au 0.375 0.625 0.750
Au 0.500 0.000 0.000
Au 0.500 0.000 0.500
Au 0.500 0.500 0.000
Au 0.500 0.500 0.500
Au 0.625 0.375 0.250
Au 0.625 0.750 0.375
Au 0.750 0.375 0.625
Au 0.750 0.875 0.125
Au 0.875 0.125 0.750
Au 0.875 0.250 0.125
Br 0.125 0.250 0.375
Br 0.125 0.375 0.750
Br 0.250 0.375 0.125
Br 0.250 0.875 0.625
Br 0.375 0.125 0.250
Br 0.375 0.750 0.125
Br 0.625 0.250 0.875
Br 0.625 0.875 0.750
Br 0.750 0.125 0.375
Br 0.750 0.625 0.875
Br 0.875 0.625 0.250
Br 0.875 0.750 0.625
Cl 0.003 0.669 0.135
Cl 0.003 0.834 0.868
Cl 0.034 0.666 0.669
Cl 0.034 0.868 0.365
Cl 0.132 0.635 0.966
Cl 0.132 0.997 0.166
Cl 0.135 0.003 0.669
Cl 0.135 0.632 0.466
Cl 0.166 0.132 0.997
Cl 0.166 0.534 0.169
Cl 0.169 0.166 0.534
Cl 0.169 0.503 0.635
Cl 0.331 0.865 0.997
Cl 0.331 0.966 0.334
Cl 0.334 0.331 0.966
Cl 0.334 0.503 0.368
Cl 0.365 0.034 0.868
Cl 0.365 0.831 0.497
Cl 0.368 0.334 0.503
Cl 0.368 0.534 0.865
Cl 0.466 0.135 0.632
Cl 0.466 0.831 0.834
Cl 0.497 0.365 0.831
Cl 0.497 0.632 0.666
Cl 0.503 0.368 0.334
Cl 0.503 0.635 0.169
Cl 0.534 0.169 0.166
Cl 0.534 0.865 0.368
Cl 0.632 0.466 0.135
Cl 0.632 0.666 0.497
Cl 0.635 0.169 0.503
Cl 0.635 0.966 0.132
Cl 0.666 0.497 0.632
Cl 0.666 0.669 0.034
Cl 0.669 0.034 0.666
Cl 0.669 0.135 0.003
Cl 0.831 0.497 0.365
Cl 0.831 0.834 0.466
Cl 0.834 0.466 0.831
Cl 0.834 0.868 0.003
Cl 0.865 0.368 0.534
Cl 0.865 0.997 0.331
Cl 0.868 0.003 0.834
Cl 0.868 0.365 0.034
Cl 0.966 0.132 0.635
Cl 0.966 0.334 0.331
Cl 0.997 0.166 0.132
Cl 0.997 0.331 0.865
```

***

No. 10
A relaxed AuSe2Br crystal, computed with PBE-GGA. Values from VASP.

Symmetry = P4/mmm
Formation energy from raw total energies = 0.215 eV per atom
D(E_F) = 0.575 states/eV per atom

Geometry as Quantum ESPRESSO input:
```
&SYSTEM
  ibrav = 0, nat = 4, ntyp = 3
/
ATOMIC_SPECIES
Au 196.97 Au.upf
Se 78.96 Se.upf
Br 79.90 Br.upf
CELL_PARAMETERS angstrom
3.785 0.000 0.000
0.000 3.785 0.000
0.000 0.000 8.275
ATOMIC_POSITIONS crystal
Au 0.000 0.000 0.000
Se 0.000 0.500 0.500
Se 0.500 0.000 0.500
Br 0.500 0.500 0.000
```

***

No. 11
A relaxed LaMnAs2Se crystal, computed with PBE-GGA. Values from VASP.

Energy above the most stable polymorph in this dataset = 0 meV per atom
Symmetry = P4/mmm
Formation energy from raw total energies = -0.619 eV per atom
D(E_F) = 0.698 states/eV per atom

Geometry as Quantum ESPRESSO input:
```
&SYSTEM
  ibrav = 0, nat = 5, ntyp = 4
/
ATOMIC_SPECIES
La 138.91 La.upf
Mn 54.94 Mn.upf
As 74.92 As.upf
Se 78.96 Se.upf
CELL_PARAMETERS angstrom
4.677 0.000 0.000
0.000 4.677 0.000
0.000 0.000 5.168
ATOMIC_POSITIONS crystal
La 0.000 0.000 0.000
Mn 0.500 0.500 0.500
As 0.000 0.500 0.500
As 0.500 0.000 0.500
Se 0.500 0.500 0.000
```

***

No. 12
A relaxed Os4W5 crystal, computed with PBE-GGA. Values from VASP.

Energy above the most stable polymorph in this dataset = 0 meV per atom
Symmetry = I4/mmm
ΔE_f = 0.13 eV per atom
D(E_F) = 0.812 states/eV per atom

Geometry as Quantum ESPRESSO input:
```
&SYSTEM
  ibrav = 0, nat = 9, ntyp = 2
/
ATOMIC_SPECIES
Os 190.23 Os.upf
W 183.84 W.upf
CELL_PARAMETERS angstrom
-4.224 4.224 1.952
4.224 -4.224 1.952
4.224 4.224 -1.952
ATOMIC_POSITIONS crystal
Os 0.000 0.344 0.344
Os 0.000 0.656 0.656
Os 0.344 0.000 0.344
Os 0.656 0.000 0.656
W 0.000 0.000 0.000
W 0.328 0.328 0.655
W 0.328 0.672 0.000
W 0.672 0.328 0.000
W 0.672 0.672 0.345
```